Computed, not measured: SiMo2AsOs after structural relaxation at the PBE level of DFT.

abc: 4.529 4.529 4.390
angles: 90.00 90.00 90.00
Fractional positions:
Si1 0.000 0.000 0.000
Mo1 0.000 0.500 0.000
Mo2 0.500 0.000 0.000
As1 0.500 0.500 0.500
Os1 0.000 0.000 0.500

## Properties
As for the space-group type: P4/mmm (123). The uncorrected formation energy comes out at 1.1266 eV/atom. Its spin magnetization is 0.000 μB per atom. The calculation puts the total energy at -7.47 eV per atom.

---

Computed, not measured: NiPd after structural relaxation at the PBE level of DFT.

abc: 2.703 2.703 8.506
angles: 90.00 90.00 120.00
Fractional positions:
Ni1 0.333 0.667 0.250
Ni2 0.667 0.333 0.750
Pd1 0.000 0.000 0.000
Pd2 0.000 0.000 0.500

## Properties
As for the space-group type: P6_3/mmc (194). For the formation enthalpy at 0 K, the calculation gives 8.62 kJ/mol of atoms. Its spin magnetization is 0.543 μB per atom. The calculation puts the total energy at -5.40 eV per atom.

---

Computed, not measured: Gd3TlH after structural relaxation at the PBE level of DFT.

abc: 4.895 4.895 4.895
angles: 90.00 90.00 90.00
Fractional positions:
Gd1 0.000 0.000 0.500
Gd2 0.000 0.500 0.000
Gd3 0.500 0.000 0.000
Tl1 0.500 0.500 0.500
H1 0.000 0.000 0.000

## Properties
As for the space-group type: Pm-3m (221). Its spin magnetization is 4.610 μB per atom. The calculation puts the total energy at -9.94 eV per atom.

---

Computed, not measured: ScTlTe2 after structural relaxation at the PBE level of DFT.

abc: 12.073 12.073 12.073
angles: 16.46 16.46 16.46
Fractional positions:
Sc1 0.000 0.000 0.000
Tl1 0.500 0.500 0.500
Te1 0.080 0.080 0.080
Te2 0.920 0.920 0.920

## Properties
As for the space-group type: R-3m (166). The uncorrected formation energy comes out at 0.0106 eV/atom. Its spin magnetization is 0.000 μB per atom. The calculation puts the total energy at -3.73 eV per atom.

---

Computed, not measured: Tl2InP after structural relaxation at the PBE level of DFT.

abc: 3.615 3.615 8.103
angles: 90.00 90.00 90.00
Fractional positions:
Tl1 0.000 0.000 0.206
Tl2 0.000 0.000 0.794
In1 0.500 0.500 0.500
P1 0.500 0.500 0.000

## Properties
As for the space-group type: P4/mmm (123). For the formation enthalpy at 0 K, the calculation gives 21.48 kJ/mol of atoms. Its spin magnetization is 0.000 μB per atom. The calculation puts the total energy at -3.00 eV per atom. For the energy above the most stable polymorph in this dataset, the calculation gives 118 meV/atom.

---

Computed, not measured: Tb6Sm3Y2Tl after structural relaxation at the PBE level of DFT.

abc: 6.156 6.156 11.729
angles: 95.06 95.06 120.04
Fractional positions:
Tb1 0.081 0.409 0.246
Tb2 0.247 0.247 0.752
Tb3 0.409 0.081 0.246
Tb4 0.591 0.919 0.754
Tb5 0.753 0.753 0.248
Tb6 0.919 0.591 0.754
Sm1 0.167 0.833 0.500
Sm2 0.500 0.500 0.500
Sm3 0.833 0.167 0.500
Y1 0.334 0.666 0.000
Y2 0.666 0.334 0.000
Tl1 0.000 0.000 0.000

## Properties
As for the space-group type: C2/m (12). For the formation enthalpy at 0 K, the calculation gives -1.41 kJ/mol of atoms. Its spin magnetization is 0.002 μB per atom. The calculation puts the total energy at -4.78 eV per atom.

---

Computed, not measured: TaCoP2 after structural relaxation at the PBE level of DFT.

abc: 7.507 7.507 7.507
angles: 22.58 22.58 22.58
Fractional positions:
Ta1 0.000 0.000 0.000
Co1 0.500 0.500 0.500
P1 0.240 0.240 0.240
P2 0.760 0.760 0.760

## Properties
As for the space-group type: R-3m (166). For the formation enthalpy at 0 K, the calculation gives -10.69 kJ/mol of atoms. Its spin magnetization is 0.000 μB per atom. The calculation puts the total energy at -7.56 eV per atom. For the energy above the most stable polymorph in this dataset, the calculation gives 399 meV/atom.

---

Computed, not measured: Al2RuPbC after structural relaxation at the PBE level of DFT.

abc: 4.968 4.968 3.901
angles: 90.00 90.00 90.00
Fractional positions:
Al1 0.000 0.500 0.000
Al2 0.500 0.000 0.000
Ru1 0.000 0.000 0.000
Pb1 0.500 0.500 0.500
C1 0.000 0.000 0.500

## Properties
As for the space-group type: P4/mmm (123). For the formation enthalpy at 0 K, the calculation gives 59.19 kJ/mol of atoms. Its spin magnetization is 0.000 μB per atom. The calculation puts the total energy at -5.33 eV per atom.

---

Computed, not measured: ScSi2PRu after structural relaxation at the PBE level of DFT.

abc: 4.606 4.606 4.304
angles: 90.00 90.00 90.00
Fractional positions:
Sc1 0.000 0.000 0.000
Si1 0.000 0.500 0.500
Si2 0.500 0.000 0.500
P1 0.500 0.500 0.500
Ru1 0.500 0.500 0.000

## Properties
As for the space-group type: P4/mmm (123). The uncorrected formation energy comes out at 0.3253 eV/atom. Its spin magnetization is 0.000 μB per atom. The calculation puts the total energy at -6.05 eV per atom.

---

Computed, not measured: ZrMnV2Os after structural relaxation at the PBE level of DFT.

abc: 4.583 4.583 4.490
angles: 90.00 90.00 90.00
Fractional positions:
Zr1 0.000 0.000 0.000
Mn1 0.500 0.500 0.000
V1 0.000 0.500 0.500
V2 0.500 0.000 0.500
Os1 0.500 0.500 0.500

## Properties
As for the space-group type: P4/mmm (123). For the formation enthalpy at 0 K, the calculation gives 87.35 kJ/mol of atoms. Its spin magnetization is 0.514 μB per atom. The calculation puts the total energy at -8.53 eV per atom.

---

Computed, not measured: BeIn4As after structural relaxation at the PBE level of DFT.

abc: 6.047 6.047 6.047
angles: 60.00 60.00 60.00
Fractional positions:
Be1 0.000 0.000 0.000
In1 0.125 0.625 0.625
In2 0.625 0.125 0.625
In3 0.625 0.625 0.125
In4 0.625 0.625 0.625
As1 0.250 0.250 0.250

## Properties
As for the space-group type: F-43m (216). For the formation enthalpy at 0 K, the calculation gives 67.46 kJ/mol of atoms. Its spin magnetization is 0.000 μB per atom. The calculation puts the total energy at -2.52 eV per atom.

---

Computed, not measured: SrCaLaPr after structural relaxation at the PBE level of DFT.

abc: 6.154 6.154 6.154
angles: 60.00 60.00 60.00
Fractional positions:
Sr1 0.000 0.000 0.000
Ca1 0.750 0.750 0.750
La1 0.500 0.500 0.500
Pr1 0.250 0.250 0.250

## Properties
As for the space-group type: F-43m (216). For the formation enthalpy at 0 K, the calculation gives 13.92 kJ/mol of atoms. Its spin magnetization is 0.000 μB per atom. The calculation puts the total energy at -3.20 eV per atom. For the energy above the most stable polymorph in this dataset, the calculation gives 99 meV/atom.